A plane-wave DFT calculation with GGA-PBE was carried out for a geometry-optimized LaGeIrW2 structure.

Values from the calculation:
DOS at the Fermi energy (states/eV per atom): 1.2728
Volume (Å³/cell): 116.29
Mass density (g/cm³): 11.0
Formation energy (eV per atom): 2.902
E_tot (eV/atom): -5.960

Cell lengths 4.792, 4.792, 5.065 Å; angles 90.00, 90.00, 90.00 degrees
Space group P4/mmm (No. 123)
Inequivalent atoms, fractional coordinates:
La 0.000 0.000 0.000
Ge 0.000 0.000 0.500
Ir 0.500 0.500 0.500
W 0.000 0.500 0.000